This record from Alexandria describes a geometry-optimized Gd2BeRh structure. The functional is GGA-PBE.

* offset from the most stable computed form: 0.0000 eV per atom
* DOS(E_F): 3.22 states/eV per cell
* calculated total energy: -10.14 eV/atom
* DFT formation energy: -0.326 eV per atom
* V: 82.4 Å³/cell

Cell: 3.493 3.493 6.748 Å, 90.00 90.00 90.00°
Last column: magnetic moment on the atom in μB.
Fractional coordinates of all 4 atoms:
1 Gd 0.000 0.000 0.750  7.02
2 Gd 0.000 0.000 0.250  7.02
3 Be 0.500 0.500 0.500  -0.01
4 Rh 0.500 0.500 0.000  -0.12